--- A ---
This record from Alexandria via LeMat-Bulk describes a geometry-optimized Tl2C2O5 structure. The functional is PBE.

Unit cell a=6.9352 b=4.4758 c=8.7453 alpha=119.43 beta=91.10 gamma=127.76
Fractional positions:
O  0.2049  0.4022  0.8825
O  0.7426  0.7234  0.7125
O  0.7951  0.5978  0.1175
O  0.2574  0.2766  0.2875
Tl  0.4115  0.8934  0.7222
O  0.0000  0.0000  0.0000
C  0.0200  0.9546  0.1462
C  0.9800  0.0454  0.8538
Tl  0.5885  0.1066  0.2778

Values from the calculation:
* crystal system: triclinic
* mass density: 5.14 Mg/m³
* space-group type: No. 2
* magnetic moment: 0.00 μB/atom

=====

--- B ---
This record from Alexandria via LeMat-Bulk describes a geometry-optimized Tl2C2O5 structure. The functional is PBE.

Unit cell a=4.7120 b=6.7246 c=5.7095 alpha=79.70 beta=90.00 gamma=110.51
Fractional positions:
Tl  0.6461  0.2923  0.3328
O  0.1342  0.2685  0.6751
Tl  0.3539  0.7077  0.6672
C  0.1098  0.2195  0.8999
O  0.0000  0.0000  0.0000
O  0.8658  0.7315  0.3249
O  0.1733  0.3467  0.0460
O  0.8267  0.6533  0.9540
C  0.8902  0.7805  0.1001

Values from the calculation:
* crystal system: monoclinic
* mass density: 5.12 Mg/m³
* space-group type: No. 12
* magnetic moment: 0.00 μB/atom

=====

A ends up most stable, edging out the next structure by 17 meV per atom.

=====

--- A ---
This record from Alexandria via LeMat-Bulk describes a geometry-optimized Tm2CO structure. The functional is PBE.

Unit cell a=5.9844 b=5.9972 c=7.6981 alpha=104.91 beta=104.84 gamma=109.89
Fractional positions:
C  0.9363  0.6863  0.3725
Tm  0.9422  0.1834  0.8756
Tm  0.3041  0.0629  0.6255
O  0.5617  0.8117  0.6234
Tm  0.5666  0.3078  0.1244
Tm  0.8214  0.5626  0.6255
O  0.6868  0.4368  0.8737
Tm  0.1786  0.4374  0.3745
O  0.4383  0.1883  0.3766
Tm  0.6959  0.9371  0.3745
C  0.0637  0.3137  0.6275
C  0.8115  0.0615  0.1230
Tm  0.0578  0.8166  0.1244
O  0.3132  0.5632  0.1263
C  0.1885  0.9385  0.8770
Tm  0.4334  0.6922  0.8756

Values from the calculation:
* crystal system: monoclinic
* mass density: 10.46 Mg/m³
* space-group type: No. 15
* magnetic moment: 0.00 μB/atom

=====

--- B ---
This record from Alexandria via LeMat-Bulk describes a geometry-optimized Tm2CO structure. The functional is PBE.

Unit cell a=3.4154 b=3.4154 c=6.2137 alpha=74.05 beta=74.05 gamma=60.00
Fractional positions:
O  0.4938  0.4938  0.5187
Tm  0.2591  0.2591  0.2226
C  0.6672  0.6672  0.9984
Tm  0.0799  0.0799  0.7603

Values from the calculation:
* crystal system: trigonal
* mass density: 10.21 Mg/m³
* space-group type: No. 160
* magnetic moment: 0.00 μB/atom

=====

--- C ---
This record from Alexandria via LeMat-Bulk describes a geometry-optimized Tm2CO structure. The functional is PBE.

Unit cell a=3.7481 b=3.7481 c=6.9040 alpha=74.25 beta=74.25 gamma=60.00
Fractional positions:
Tm  0.1025  0.1025  0.6924
Tm  0.8975  0.8975  0.3076
C  0.5000  0.5000  0.5000
O  0.0000  0.0000  0.0000

Values from the calculation:
* crystal system: trigonal
* mass density: 7.62 Mg/m³
* space-group type: No. 166
* magnetic moment: 0.00 μB/atom

=====

A ends up most stable, edging out the next structure by 178 meV per atom.